Material: TaZn2As
Method: DFT, PBE
State: relaxed

Properties
DFT formation energy = 0.16 eV/atom

a b c (Å): 9.0110 9.0110 9.0110
angles (deg): 19.08 19.08 19.08
Sites, in units of the cell vectors:
Ta 0.0000 0.0000 0.0000
Zn 0.2486 0.2486 0.2486
Zn 0.7514 0.7514 0.7514
As 0.5000 0.5000 0.5000

Material: NiGeCl
Method: DFT, PBE
State: relaxed

Properties
E_form (uncorrected) = -0.287 eV/atom

a b c (Å): 3.4381 5.3455 5.7485
angles (deg): 90.00 90.00 90.00
Sites, in units of the cell vectors:
Ni 0.0000 0.2339 0.0000
Ni 0.5000 0.7661 0.5000
Ge 0.0000 0.0237 0.3569
Ge 0.5000 0.9763 0.8569
Cl 0.0000 0.4350 0.6355
Cl 0.5000 0.5650 0.1355

Material: BaTc3Te
Method: DFT, PBE
State: relaxed

Properties
relative energy among the computed polymorphs = 7.56 eV per formula unit
E_form (uncorrected) = 2.757 eV/atom

a b c (Å): 5.1386 5.1386 5.1386
angles (deg): 90.00 90.00 90.00
Sites, in units of the cell vectors:
Ba 0.0000 0.0000 0.0000
Tc 0.0000 0.0000 0.5000
Tc 0.0000 0.5000 0.0000
Tc 0.5000 0.0000 0.0000
Te 0.5000 0.5000 0.5000

Material: LiAg2Pb
Method: DFT, PBE
State: relaxed

Properties
DFT formation energy = -0.10 eV/atom

a b c (Å): 5.4288 5.4288 5.4288
angles (deg): 139.32 129.63 66.66
Sites, in units of the cell vectors:
Li 0.0000 0.0000 0.0000
Ag 0.2363 0.7363 0.5000
Ag 0.7637 0.2637 0.5000
Pb 0.5000 0.5000 0.0000

Material: KIn2Os
Method: DFT, PBE
State: relaxed

Properties
relative energy among the computed polymorphs = 2.48 eV per formula unit
DFT formation energy = 0.95 eV/atom

a b c (Å): 2.9720 5.2694 5.9563
angles (deg): 90.00 90.00 90.00
Sites, in units of the cell vectors:
K 0.0000 0.0000 0.0000
In 0.0000 0.5000 0.5000
In 0.5000 0.5000 0.0000
Os 0.5000 0.0000 0.5000

Material: Sc3Cd3In
Method: DFT, PBE
State: relaxed

Properties
DFT formation energy = -0.21 eV/atom

a b c (Å): 7.0654 7.0654 6.6549
angles (deg): 90.00 90.00 90.32
Sites, in units of the cell vectors:
Sc 0.0000 0.0000 0.2496
Sc 0.0000 0.0000 0.7504
Sc 0.0000 0.5000 0.2490
Sc 0.0000 0.5000 0.7510
Sc 0.5000 0.0000 0.2490
Sc 0.5000 0.0000 0.7510
Cd 0.2751 0.7249 0.5000
Cd 0.2771 0.2771 0.5000
Cd 0.2866 0.2866 0.0000
Cd 0.7134 0.7134 0.0000
Cd 0.7229 0.7229 0.5000
Cd 0.7249 0.2751 0.5000
In 0.2722 0.7278 0.0000
In 0.7278 0.2722 0.0000

Material: PbBr
Method: DFT, PBE
State: relaxed

Properties
E_form (uncorrected) = -0.326 eV/atom

a b c (Å): 12.1175 12.1175 3.8124
angles (deg): 90.00 90.00 120.00
Sites, in units of the cell vectors:
Pb 0.0799 0.8156 0.2500
Pb 0.1844 0.2644 0.2500
Pb 0.2644 0.0799 0.7500
Pb 0.7356 0.9201 0.2500
Pb 0.8156 0.7356 0.7500
Pb 0.9201 0.1844 0.7500
Br 0.1421 0.6761 0.7500
Br 0.3239 0.4660 0.7500
Br 0.4660 0.1421 0.2500
Br 0.5340 0.8579 0.7500
Br 0.6761 0.5340 0.2500
Br 0.8579 0.3239 0.2500

Material: EuHo2Zr
Method: DFT, PBE
State: relaxed

Properties
relative energy among the computed polymorphs = 0.42 eV per formula unit
DFT formation energy = 0.20 eV/atom

a b c (Å): 4.9421 4.9421 4.8338
angles (deg): 90.00 90.00 90.00
Sites, in units of the cell vectors:
Eu 0.0000 0.0000 0.0000
Ho 0.0000 0.5000 0.5000
Ho 0.5000 0.0000 0.5000
Zr 0.5000 0.5000 0.0000

Material: ReWSe2
Method: DFT, PBE
State: relaxed

Properties
relative energy among the computed polymorphs = 3.83 eV per formula unit
E_form (uncorrected) = 0.964 eV/atom

a b c (Å): 5.1840 5.1840 5.1840
angles (deg): 146.12 115.96 74.46
Sites, in units of the cell vectors:
Re 0.0000 0.0000 0.0000
W 0.5000 0.5000 0.0000
Se 0.2461 0.7461 0.5000
Se 0.7539 0.2539 0.5000

Material: TbSiIr3
Method: DFT, PBE
State: relaxed

Properties
E_form (uncorrected) = -0.344 eV/atom

a b c (Å): 4.4754 4.4754 9.5623
angles (deg): 90.00 90.00 120.00
Sites, in units of the cell vectors:
Tb 0.3333 0.6667 0.2500
Tb 0.6667 0.3333 0.7500
Si 0.0000 0.0000 0.0000
Si 0.0000 0.0000 0.5000
Ir 0.0000 0.0000 0.2500
Ir 0.0000 0.0000 0.7500
Ir 0.3333 0.6667 0.5666
Ir 0.3333 0.6667 0.9334
Ir 0.6667 0.3333 0.0666
Ir 0.6667 0.3333 0.4334

Material: Mg2CdW
Method: DFT, PBE
State: relaxed

Properties
DFT formation energy = 0.58 eV/atom

a b c (Å): 5.2956 5.2956 5.2956
angles (deg): 134.38 134.38 66.49
Sites, in units of the cell vectors:
Mg 0.0000 0.0000 0.0000
Mg 0.7500 0.2500 0.5000
Cd 0.5000 0.5000 0.0000
W 0.2500 0.7500 0.5000

Material: YBeCu2H
Method: DFT, PBE
State: relaxed

a b c (Å): 4.2970 4.2970 3.8167
angles (deg): 90.00 90.00 90.00
Sites, in units of the cell vectors:
Y 0.0000 0.0000 0.0000
Be 0.5000 0.5000 0.5000
Cu 0.0000 0.5000 0.5000
Cu 0.5000 0.0000 0.5000
H 0.5000 0.5000 0.0000

| no. | spin magnetization (μB per cell) | density of states at the Fermi level (states/eV/atom) | E_tot (eV for the cell shown) |
| --- | --- | --- | --- |
| 1 | 0.0 | 0.545 | -18.4 |
| 2 | 0.0 | 0.453 | -26.2 |
| 3 | 7.4 | 1.279 | -22.4 |
| 4 | 0.0 | 0.221 | -11.7 |
| 5 | 0.0 | 0.899 | -14.0 |
| 6 | 1.4 | 0.798 | -51.9 |
| 7 | 0.0 | 0.443 | -36.2 |
| 8 | 6.7 | 1.369 | -27.2 |
| 9 | 0.0 | 1.036 | -28.5 |
| 10 | 0.0 | 0.431 | -76.7 |
| 11 | 0.0 | 0.892 | -14.7 |
| 12 | 0.0 | 0.514 | -20.8 |